A relaxed La2PmTm5 crystal. Source: the Alexandria database, functional PBE-GGA.

Structure (CIF):
```
data_La2PmTm5
_cell_length_a 14.411
_cell_length_b 9.938
_cell_length_c 3.608
_cell_angle_alpha 90.00
_cell_angle_beta 90.10
_cell_angle_gamma 90.00
_space_group_name_H-M_alt 'C 1 2/m 1'
_space_group_IT_number 12
loop_
_space_group_symop_operation_xyz
'x,y,z'
'-x,-y,-z'
'-x,y,-z'
'x,-y,z'
'x+1/2,y+1/2,z'
'-x+1/2,-y+1/2,-z'
'-x+1/2,y+1/2,-z'
'x+1/2,-y+1/2,z'
loop_
_atom_site_label
_atom_site_fract_x
_atom_site_fract_y
_atom_site_fract_z
La1 0.248 0.000 0.499
Pm1 0.000 0.500 0.500
Tm1 0.000 0.000 0.500
Tm2 0.122 0.248 0.001
```

Computed properties:
V ... 517 Å³ per cell
Excess energy over the best structure of this formula in the dataset ... 6.4 kJ/mol of formula units
Formation energy ... 0.032 eV per atom
N(E_F) ... 12.6 states/eV/f.u.

A relaxed LaPm8Tm2 crystal. Source: the Alexandria database, functional PBE-GGA.

Structure (CIF):
```
data_LaPm8Tm2
_cell_length_a 5.659
_cell_length_b 8.341
_cell_length_c 15.997
_cell_angle_alpha 90.00
_cell_angle_beta 90.00
_cell_angle_gamma 90.00
_space_group_name_H-M_alt 'I m m m'
_space_group_IT_number 71
_space_group_name_Hall '-I 2 2'
loop_
_atom_site_label
_atom_site_fract_x
_atom_site_fract_y
_atom_site_fract_z
La1 0.000 0.000 0.000
Pm1 0.000 0.204 0.500
Pm2 0.000 0.297 0.140
Pm3 0.000 0.500 0.336
Tm1 0.000 0.000 0.300
```

Computed properties:
V ... 755 Å³ per cell
Excess energy over the best structure of this formula in the dataset ... 0.0 kJ/mol of formula units
Formation energy ... 0.111 eV per atom
N(E_F) ... 16.8 states/eV/f.u.

A relaxed LaPmTm2 crystal. Source: the Alexandria database, functional PBE-GGA.

Structure (CIF):
```
data_LaPmTm2
_cell_length_a 5.152
_cell_length_b 5.152
_cell_length_c 4.947
_cell_angle_alpha 90.00
_cell_angle_beta 90.00
_cell_angle_gamma 90.00
_space_group_name_H-M_alt 'P 4/m m m'
_space_group_IT_number 123
_space_group_name_Hall '-P 4 2'
loop_
_atom_site_label
_atom_site_fract_x
_atom_site_fract_y
_atom_site_fract_z
La1 0.000 0.000 0.000
Pm1 0.500 0.500 0.000
Tm1 0.000 0.500 0.500
```

Computed properties:
V ... 131 Å³ per cell
Excess energy over the best structure of this formula in the dataset ... 4.2 kJ/mol of formula units
Formation energy ... 0.029 eV per atom
N(E_F) ... 6.5 states/eV/f.u.

A relaxed La2Pm5Tm12 crystal. Source: the Alexandria database, functional PBE-GGA.

Structure (CIF):
```
data_La2Pm5Tm12
_cell_length_a 6.649
_cell_length_b 8.762
_cell_length_c 11.835
_cell_angle_alpha 77.25
_cell_angle_beta 76.47
_cell_angle_gamma 68.05
_space_group_name_H-M_alt 'P -1'
_space_group_IT_number 2
loop_
_space_group_symop_operation_xyz
'x,y,z'
'-x,-y,-z'
loop_
_atom_site_label
_atom_site_fract_x
_atom_site_fract_y
_atom_site_fract_z
La1 0.185 0.041 0.371
Pm1 0.072 0.292 0.034
Pm2 0.221 0.572 0.494
Pm3 0.500 0.500 0.000
Tm1 0.110 0.893 0.130
Tm2 0.116 0.492 0.245
Tm3 0.248 0.174 0.616
Tm4 0.393 0.764 0.670
Tm5 0.435 0.362 0.761
Tm6 0.436 0.963 0.879
```

Computed properties:
V ... 615 Å³ per cell
Excess energy over the best structure of this formula in the dataset ... 0.0 kJ/mol of formula units
Formation energy ... 0.081 eV per atom
N(E_F) ... 30.2 states/eV/f.u.

A relaxed La2Pm2Tm crystal. Source: the Alexandria database, functional PBE-GGA.

Structure (CIF):
```
data_La2Pm2Tm
_cell_length_a 6.398
_cell_length_b 5.886
_cell_length_c 9.802
_cell_angle_alpha 90.00
_cell_angle_beta 108.98
_cell_angle_gamma 90.00
_space_group_name_H-M_alt 'P 1 21/m 1'
_space_group_IT_number 11
loop_
_space_group_symop_operation_xyz
'x,y,z'
'-x,-y,-z'
'-x,y+1/2,-z'
'x,-y+1/2,z'
loop_
_atom_site_label
_atom_site_fract_x
_atom_site_fract_y
_atom_site_fract_z
La1 0.036 0.250 0.398
La2 0.234 0.250 0.802
Pm1 0.170 0.750 0.002
Pm2 0.369 0.750 0.399
Tm1 0.433 0.250 0.199
```

Computed properties:
V ... 349 Å³ per cell
Excess energy over the best structure of this formula in the dataset ... 0.0 kJ/mol of formula units
Formation energy ... 0.029 eV per atom
N(E_F) ... 8.0 states/eV/f.u.

A relaxed LaPm2Tm5 crystal. Source: the Alexandria database, functional PBE-GGA.

Structure (CIF):
```
data_LaPm2Tm5
_cell_length_a 7.160
_cell_length_b 7.160
_cell_length_c 9.917
_cell_angle_alpha 90.00
_cell_angle_beta 90.00
_cell_angle_gamma 90.00
_space_group_name_H-M_alt 'I 4/m m m'
_space_group_IT_number 139
_space_group_name_Hall '-I 4 2'
loop_
_atom_site_label
_atom_site_fract_x
_atom_site_fract_y
_atom_site_fract_z
La1 0.000 0.000 0.000
Pm1 0.000 0.500 0.000
Tm1 0.000 0.000 0.500
Tm2 0.250 0.250 0.250
```

Computed properties:
V ... 508 Å³ per cell
Excess energy over the best structure of this formula in the dataset ... 0.0 kJ/mol of formula units
Formation energy ... 0.022 eV per atom
N(E_F) ... 10.3 states/eV/f.u.

A relaxed La3PmTm2 crystal. Source: the Alexandria database, functional PBE-GGA.

Structure (CIF):
```
data_La3PmTm2
_cell_length_a 19.077
_cell_length_b 6.546
_cell_length_c 7.323
_cell_angle_alpha 90.00
_cell_angle_beta 112.53
_cell_angle_gamma 90.00
_space_group_name_H-M_alt 'C 1 2/c 1'
_space_group_IT_number 15
loop_
_space_group_symop_operation_xyz
'x,y,z'
'-x,-y,-z'
'-x,y,-z+1/2'
'x,-y,z+1/2'
'x+1/2,y+1/2,z'
'-x+1/2,-y+1/2,-z'
'-x+1/2,y+1/2,-z+1/2'
'x+1/2,-y+1/2,z+1/2'
loop_
_atom_site_label
_atom_site_fract_x
_atom_site_fract_y
_atom_site_fract_z
La1 0.000 0.232 0.250
La2 0.181 0.006 0.931
Pm1 0.000 0.268 0.750
Tm1 0.145 0.500 0.145
```

Computed properties:
V ... 845 Å³ per cell
Excess energy over the best structure of this formula in the dataset ... 0.0 kJ/mol of formula units
Formation energy ... 0.133 eV per atom
N(E_F) ... 11.1 states/eV/f.u.

A relaxed La6Pm2Tm crystal. Source: the Alexandria database, functional PBE-GGA.

Structure (CIF):
```
data_La6Pm2Tm
_cell_length_a 3.6701
_cell_length_b 3.6701
_cell_length_c 27.6752
_cell_angle_alpha 90.00
_cell_angle_beta 90.00
_cell_angle_gamma 120.00
_space_group_name_H-M_alt 'P -6 m 2'
_space_group_IT_number 187
_space_group_name_Hall 'P -6 2'
loop_
_atom_site_label
_atom_site_fract_x
_atom_site_fract_y
_atom_site_fract_z
La1 0.0000 0.0000 0.0629
La2 0.0000 0.0000 0.2811
La3 0.3333 0.6667 0.3959
Pm1 0.3333 0.6667 0.1704
Tm1 0.0000 0.0000 0.5000
```

Computed properties:
V ... 323 Å³ per cell
Formation energy ... 0.057 eV per atom
N(E_F) ... 16.8 states/eV/f.u.